1.
Mn2InCl (PBEsol, relaxed); SG = C2/m, No. 12; formation energy (no corrections) = 0.8 eV per formula unit; relative energy among the computed polymorphs = 33 meV/atom
1.0
4.648 -1.480 0.000
4.648 1.480 0.000
-4.574 0.000 6.031
Mn In Cl
2 1 1
Direct
0.141 0.141 0.325
0.859 0.859 0.675
0.500 0.500 0.500
0.500 0.500 0.000


2.
Sr2LiW (PBEsol, relaxed); SG = P4mm, No. 99; energy of formation = 989 meV/atom; relative energy among the computed polymorphs = 0 meV/atom
1.0
3.373 0.000 0.000
0.000 3.373 0.000
0.000 0.000 9.233
Sr Li W
2 1 1
Direct
0.000 0.000 0.000
0.500 0.500 0.386
0.500 0.500 0.764
0.000 0.000 0.631


3.
CrInCo2 (PBEsol, relaxed); SG = Pmm2, No. 25; energy of formation = 295 meV/atom
1.0
2.710 0.000 0.000
0.000 3.422 0.000
0.000 0.000 5.569
Cr In Co
1 1 2
Direct
0.000 0.000 0.000
0.500 0.500 0.324
0.000 0.000 0.598
0.500 0.500 0.826


4.
LiAgBr2 (PBEsol, relaxed); SG = Imm2, No. 44; formation energy (no corrections) = -3.3 eV per formula unit; relative energy among the computed polymorphs = 82 meV/atom
1.0
-1.807 1.847 6.563
1.807 -1.847 6.563
1.807 1.847 -6.563
Li Ag Br
1 1 2
Direct
0.000 0.000 0.000
0.755 0.255 0.500
0.162 0.662 0.500
0.421 0.421 0.000


5.
K4CoMo4O15 (PBEsol, relaxed); SG = P-3, No. 147; formation energy (no corrections) = -47.1 eV per formula unit
1.0
10.231 0.000 0.000
-5.116 8.861 0.000
0.000 0.000 8.086
K Co Mo O
8 2 8 30
Direct
0.000 0.000 0.000
0.000 0.000 0.500
0.096 0.696 0.138
0.304 0.399 0.138
0.399 0.096 0.862
0.601 0.904 0.138
0.696 0.601 0.862
0.904 0.304 0.862
0.333 0.667 0.472
0.667 0.333 0.528
0.012 0.672 0.632
0.328 0.339 0.632
0.333 0.667 0.849
0.339 0.012 0.368
0.661 0.988 0.632
0.667 0.333 0.151
0.672 0.661 0.368
0.988 0.328 0.368
0.003 0.785 0.789
0.006 0.739 0.437
0.152 0.511 0.346
0.174 0.520 0.942
0.186 0.665 0.650
0.215 0.218 0.789
0.218 0.003 0.211
0.261 0.267 0.437
0.267 0.006 0.563
0.335 0.521 0.650
0.346 0.826 0.942
0.359 0.848 0.346
0.479 0.814 0.650
0.480 0.654 0.942
0.489 0.641 0.346
0.511 0.359 0.654
0.520 0.346 0.058
0.521 0.186 0.350
0.641 0.152 0.654
0.654 0.174 0.058
0.665 0.479 0.350
0.733 0.994 0.437
0.739 0.733 0.563
0.782 0.997 0.789
0.785 0.782 0.211
0.814 0.335 0.350
0.826 0.480 0.058
0.848 0.489 0.654
0.994 0.261 0.563
0.997 0.215 0.211


6.
MnFe2O4 (PBEsol, relaxed); SG = Fd-3m, No. 227; formation energy (no corrections) = -8.8 eV per formula unit
1.0
0.000 4.061 4.061
4.061 0.000 4.061
4.061 4.061 0.000
Mn Fe O
2 4 8
Direct
0.125 0.125 0.125
0.875 0.875 0.875
0.000 0.500 0.500
0.500 0.000 0.500
0.500 0.500 0.000
0.500 0.500 0.500
0.263 0.263 0.263
0.263 0.263 0.711
0.263 0.711 0.263
0.289 0.737 0.737
0.711 0.263 0.263
0.737 0.289 0.737
0.737 0.737 0.289
0.737 0.737 0.737


7.
CaZn2Cu (PBEsol, relaxed); SG = R3m, No. 160; energy of formation = -183 meV/atom
1.0
2.108 1.217 4.978
-2.108 1.217 4.978
0.000 -2.434 4.978
Ca Zn Cu
1 2 1
Direct
0.000 0.000 0.000
0.514 0.514 0.514
0.804 0.804 0.804
0.194 0.194 0.194


8.
ReWCl2 (PBEsol, relaxed); SG = Pmm2, No. 25; formation energy (no corrections) = -0.7 eV per formula unit; relative energy among the computed polymorphs = 0 meV/atom
1.0
2.940 0.000 0.000
0.000 3.214 0.000
0.000 0.000 8.171
Re W Cl
1 1 2
Direct
0.000 0.000 0.000
0.500 0.500 0.180
0.000 0.500 0.412
0.500 0.000 0.768


9.
LiTcP2 (PBEsol, relaxed); SG = P2/m, No. 10; energy of formation = -494 meV/atom; relative energy among the computed polymorphs = 0 meV/atom
1.0
2.897 0.000 0.000
0.000 2.893 0.000
-0.732 0.000 6.709
Li Tc P
1 1 2
Direct
0.000 0.000 0.000
0.000 0.000 0.500
0.450 0.500 0.287
0.550 0.500 0.713


10.
TaAl2Zn (PBEsol, relaxed); SG = Cm, No. 8; energy of formation = -153 meV/atom
1.0
5.126 -1.426 0.000
5.126 1.426 0.000
-2.144 0.000 4.319
Ta Al Zn
1 2 1
Direct
0.000 0.000 0.000
0.505 0.505 0.495
0.749 0.749 0.080
0.254 0.254 0.578


11.
TlAgTe2 (PBEsol, relaxed); SG = P4/mmm, No. 123; formation energy (no corrections) = -0.1 eV per formula unit
1.0
4.246 0.000 0.000
0.000 4.246 0.000
0.000 0.000 5.980
Tl Ag Te
1 1 2
Direct
0.000 0.000 0.000
0.500 0.500 0.500
0.000 0.000 0.500
0.500 0.500 0.000


12.
FeGe2WO (PBEsol, relaxed); SG = P4/mmm, No. 123; formation energy (no corrections) = 4.7 eV per formula unit
1.0
4.268 0.000 0.000
0.000 4.268 0.000
0.000 0.000 4.512
Fe Ge W O
1 2 1 1
Direct
0.000 0.000 0.000
0.000 0.500 0.000
0.500 0.000 0.000
0.000 0.000 0.500
0.500 0.500 0.500